No. 1
Here is a geometry-optimized Ca3NiH structure from the Alexandria database. Energies are from GGA-PBE.

Calculated values
As for the calculated volume: 111 Å³/f.u. The space group is Pm-3m. The value obtained for the energy above the most stable polymorph in this dataset is 0 meV/atom. The total energy is -3.0524 eV per atom. For the magnetic moment, the calculation gives 0.0 μB per formula unit. The theoretical density comes out at 2.70 Mg/m³.

Structure (POSCAR):
```
Ca3NiH
1.0
-4.280 0.723 2.056
-1.044 -4.658 -0.536
1.913 -0.924 4.308
Ni Ca H
1 3 1
direct
0.500 0.500 0.500
0.000 0.500 0.000
0.000 0.000 0.500
0.500 0.000 0.000
0.000 0.000 0.000
```

=====

No. 2
Here is a geometry-optimized ZnSiIr2 structure from the Alexandria database. Energies are from GGA-PBE.

Calculated values
As for the calculated volume: 56 Å³/f.u. The uncorrected formation energy comes out at -5.83 kcal/mol of atoms. The space group is C2/m. The total energy is -6.3576 eV per atom. For the magnetic moment, the calculation gives 0.0 μB per formula unit. The theoretical density comes out at 14.05 Mg/m³.

Structure (POSCAR):
```
ZnSiIr2
1.0
-3.993 -0.232 -1.573
-3.355 -2.676 -0.235
-2.707 1.445 3.931
Ir Si Zn
2 1 1
direct
0.013 0.013 0.986
0.487 0.487 0.514
0.750 0.750 0.750
0.250 0.250 0.250
```

=====

No. 3
Here is a geometry-optimized ZnCr4Se structure from the Alexandria database. Energies are from GGA-PBE.

Calculated values
As for the calculated volume: 81 Å³/f.u. The uncorrected formation energy comes out at 11.68 kcal/mol of atoms. The space group is F-43m. The total energy is -6.7020 eV per atom. For the magnetic moment, the calculation gives 0.0 μB per formula unit. The theoretical density comes out at 7.24 Mg/m³.

Structure (POSCAR):
```
ZnCr4Se
1.0
-4.836 0.002 0.398
-2.761 0.477 -3.962
-2.570 -3.777 -1.635
Zn Cr Se
1 4 1
direct
0.000 0.000 0.000
0.882 0.373 0.373
0.373 0.373 0.882
0.373 0.882 0.373
0.373 0.373 0.373
0.750 0.750 0.750
```

=====

No. 4
Here is a geometry-optimized Rb3Pm3ErO8 structure from the Alexandria database. Energies are from GGA-PBE.

Calculated values
As for the calculated volume: 297 Å³/f.u. The uncorrected formation energy comes out at -60.39 kcal/mol of atoms. The space group is R-3m. The total energy is -6.7109 eV per atom. For the magnetic moment, the calculation gives 1.2 μB per formula unit. The theoretical density comes out at 5.52 Mg/m³.

Structure (POSCAR):
```
Rb3Pm3ErO8
1.0
-5.209 -4.842 0.990
6.850 -2.123 -0.380
-2.244 3.745 6.505
Rb Pm Er O
3 3 1 8
direct
0.000 0.000 0.000
0.000 0.500 0.000
0.500 0.500 0.000
0.500 0.000 0.500
0.500 0.500 0.500
0.000 0.500 0.500
0.000 0.000 0.500
0.274 0.549 0.323
0.726 0.451 0.677
0.784 0.569 0.331
0.216 0.431 0.669
0.784 0.047 0.331
0.216 0.953 0.669
0.263 0.047 0.331
0.737 0.953 0.669
```

=====

No. 5
Here is a geometry-optimized LiFe2Br structure from the Alexandria database. Energies are from GGA-PBE.

Calculated values
As for the calculated volume: 67 Å³/f.u. The uncorrected formation energy comes out at 5.31 kcal/mol of atoms. The space group is Pmmm. The value obtained for the energy above the most stable polymorph in this dataset is 212 meV/atom. The total energy is -4.8978 eV per atom. For the magnetic moment, the calculation gives 6.1 μB per formula unit. The theoretical density comes out at 4.89 Mg/m³.

Structure (POSCAR):
```
LiFe2Br
1.0
3.642 0.000 0.000
0.000 3.385 0.000
0.000 0.000 5.465
Br Fe Li
1 2 1
direct
0.000 0.500 0.500
0.000 0.000 0.000
0.500 0.500 0.000
0.500 0.000 0.500
```

=====

No. 6
Here is a geometry-optimized CdAgCl4 structure from the Alexandria database. Energies are from GGA-PBE.

Calculated values
As for the calculated volume: 164 Å³/f.u. The uncorrected formation energy comes out at -15.89 kcal/mol of atoms. The space group is P2_1/c. The value obtained for the energy above the most stable polymorph in this dataset is 0 meV/atom. The total energy is -2.5480 eV per atom. For the magnetic moment, the calculation gives 1.0 μB per formula unit. The theoretical density comes out at 3.67 Mg/m³.

Structure (POSCAR):
```
CdAgCl4
1.0
-1.502 1.100 3.547
-3.211 -5.729 0.417
10.026 -4.682 5.699
Cd Ag Cl
2 2 8
direct
0.500 0.500 0.500
0.000 0.000 0.000
0.000 0.000 0.500
0.500 0.500 0.000
0.588 0.169 0.382
0.088 0.331 0.118
0.412 0.831 0.618
0.912 0.669 0.882
0.992 0.675 0.387
0.492 0.825 0.113
0.008 0.325 0.613
0.508 0.175 0.887
```